Entry 1:
A geometry-optimized KRb4Na7 structure, computed with PBE-GGA.

Lattice parameters (Å, degrees): 7.326 14.092 7.889 87.44 62.33 74.93
Element x y z (fractional)
Rb: 0.614 0.216 0.555
Rb: 0.386 0.784 0.445
Rb: 0.200 0.355 0.244
Rb: 0.800 0.645 0.756
Na: 0.084 0.692 0.141
Na: 0.372 0.499 0.756
Na: 0.782 0.919 0.516
Na: 0.628 0.501 0.244
Na: 0.916 0.308 0.859
Na: 0.500 0.000 0.000
Na: 0.218 0.081 0.484
K: 0.000 0.000 0.000

Results
Total moment   0.00 μB per formula unit
Energy of formation   0.0640 eV per atom
Mass density   1.3 Mg/m³

Entry 2:
A geometry-optimized K4Rb2Na3 structure, computed with PBE-GGA.

Lattice parameters (Å, degrees): 8.133 12.645 12.072 90.00 109.69 90.00
Element x y z (fractional)
Rb: 0.400 0.112 0.800
Rb: 0.600 0.888 0.200
Rb: 0.900 0.388 0.800
Rb: 0.100 0.612 0.200
K: 0.178 0.750 0.856
K: 0.322 0.250 0.144
K: 0.313 0.489 0.626
K: 0.678 0.750 0.856
K: 0.822 0.250 0.144
K: 0.813 0.011 0.626
K: 0.687 0.511 0.374
K: 0.187 0.989 0.374
Na: 0.500 0.500 0.000
Na: 0.000 0.000 0.000
Na: 0.493 0.250 0.487
Na: 0.007 0.750 0.513
Na: 0.507 0.750 0.513
Na: 0.993 0.250 0.487

Results
Energy relative to the lowest polymorph listed for this composition   0.028 eV/f.u.
Total moment   0.00 μB per formula unit
Energy of formation   0.0402 eV per atom
Mass density   1.1 Mg/m³

Entry 3:
A geometry-optimized K3Rb7Na2 structure, computed with PBE-GGA.

Lattice parameters (Å, degrees): 6.913 7.024 20.227 100.00 90.00 90.00
Element x y z (fractional)
Rb: 0.500 0.208 0.416
Rb: 0.000 0.589 0.178
Rb: 0.000 0.000 0.000
Rb: 0.000 0.411 0.822
Rb: 0.500 0.088 0.177
Rb: 0.500 0.792 0.584
Rb: 0.500 0.912 0.823
K: 0.000 0.294 0.587
K: 0.500 0.500 0.000
K: 0.000 0.706 0.413
Na: 0.500 0.349 0.699
Na: 0.500 0.651 0.301

Results
Energy relative to the lowest polymorph listed for this composition   0.000 eV/f.u.
Total moment   0.00 μB per formula unit
Energy of formation   0.0423 eV per atom
Mass density   1.3 Mg/m³

Entry 4:
A geometry-optimized K8RbNa2 structure, computed with PBE-GGA.

Lattice parameters (Å, degrees): 7.941 11.922 11.922 41.82 85.17 85.17
Element x y z (fractional)
K: 0.565 0.148 0.651
K: 0.565 0.651 0.148
K: 0.120 0.787 0.787
K: 0.435 0.349 0.852
K: 0.880 0.213 0.213
K: 0.065 0.405 0.405
K: 0.935 0.595 0.595
K: 0.435 0.852 0.349
Na: 0.376 0.257 0.257
Na: 0.624 0.743 0.743
Rb: 0.000 0.000 0.000

Results
Energy relative to the lowest polymorph listed for this composition   0.139 eV/f.u.
Total moment   0.00 μB per formula unit
Energy of formation   0.0290 eV per atom
Mass density   1.0 Mg/m³

Entry 5:
A geometry-optimized KRb9Na4 structure, computed with PBE-GGA.

Lattice parameters (Å, degrees): 15.041 15.049 14.380 121.55 121.53 90.00
Element x y z (fractional)
Na: 0.581 0.731 0.812
Na: 0.769 0.919 0.188
Na: 0.731 0.231 0.812
Na: 0.081 0.581 0.812
Na: 0.269 0.769 0.188
Na: 0.419 0.269 0.188
Na: 0.231 0.081 0.812
Na: 0.919 0.419 0.188
Rb: 0.658 0.444 0.602
Rb: 0.842 0.342 0.398
Rb: 0.304 0.439 0.000
Rb: 0.444 0.944 0.602
Rb: 0.804 0.061 0.000
Rb: 0.561 0.304 0.000
Rb: 0.944 0.158 0.602
Rb: 0.000 0.500 0.000
Rb: 0.061 0.196 0.000
Rb: 0.158 0.658 0.602
Rb: 0.696 0.561 0.000
Rb: 0.439 0.696 0.000
Rb: 0.342 0.556 0.398
Rb: 0.500 0.000 0.000
Rb: 0.196 0.939 0.000
Rb: 0.056 0.842 0.398
Rb: 0.939 0.804 0.000
Rb: 0.556 0.056 0.398
K: 0.250 0.250 0.500
K: 0.750 0.750 0.500

Results
Total moment   0.00 μB per formula unit
Energy of formation   0.0745 eV per atom
Mass density   1.4 Mg/m³

Entry 6:
A geometry-optimized K3Rb5Na structure, computed with PBE-GGA.

Lattice parameters (Å, degrees): 11.698 11.698 13.776 74.16 74.16 60.36
Element x y z (fractional)
K: 0.867 0.867 0.311
K: 0.000 0.000 0.500
K: 0.704 0.704 0.744
K: 0.000 0.000 0.000
K: 0.296 0.296 0.256
K: 0.133 0.133 0.689
Rb: 0.740 0.740 0.068
Rb: 0.500 0.500 0.312
Rb: 0.321 0.679 0.000
Rb: 0.876 0.444 0.415
Rb: 0.124 0.556 0.585
Rb: 0.444 0.876 0.415
Rb: 0.260 0.260 0.932
Rb: 0.500 0.500 0.688
Rb: 0.679 0.321 0.000
Rb: 0.556 0.124 0.585
Na: 0.097 0.097 0.210
Na: 0.903 0.903 0.790

Results
Energy relative to the lowest polymorph listed for this composition   0.686 eV/f.u.
Total moment   0.00 μB per formula unit
Energy of formation   0.0947 eV per atom
Mass density   1.2 Mg/m³

Entry 7:
A geometry-optimized K2Rb4Na3 structure, computed with PBE-GGA.

Lattice parameters (Å, degrees): 6.941 8.011 13.079 68.61 89.97 64.30
Element x y z (fractional)
Rb: 0.347 0.305 0.114
Rb: 0.046 0.907 0.352
Rb: 0.653 0.695 0.886
Rb: 0.954 0.093 0.648
Na: 0.364 0.272 0.447
Na: 0.636 0.728 0.553
Na: 0.000 0.000 0.000
K: 0.301 0.398 0.743
K: 0.699 0.602 0.257

Results
Total moment   0.00 μB per formula unit
Energy of formation   0.0307 eV per atom
Mass density   1.4 Mg/m³

Entry 8:
A geometry-optimized K4Rb4Na structure, computed with PBE-GGA.

Lattice parameters (Å, degrees): 6.921 10.511 10.511 83.78 70.78 70.78
Element x y z (fractional)
K: 0.157 0.186 0.001
K: 0.843 0.814 0.999
K: 0.843 0.501 0.314
K: 0.157 0.499 0.686
Rb: 0.500 0.818 0.682
Rb: 0.818 0.182 0.682
Rb: 0.182 0.818 0.318
Rb: 0.500 0.182 0.318
Na: 0.500 0.500 0.000

Results
Energy relative to the lowest polymorph listed for this composition   0.000 eV/f.u.
Total moment   0.00 μB per formula unit
Energy of formation   0.0174 eV per atom
Mass density   1.3 Mg/m³